A crystal of KPb2Au relaxed with PBEsol, computed with SCAN.

Cell: 5.194 5.194 7.869 Å, 90.00 90.00 90.00°
Space group I-4m2 (No. 119)
Unique sites:
K: 0.000 0.000 0.000
Pb: 0.000 0.000 0.500
Pb: 0.000 0.500 0.750
Au: 0.000 0.500 0.250

=====

A crystal of Cd2FeSbMo relaxed with PBEsol, computed with SCAN.

Cell: 5.215 5.215 5.075 Å, 90.00 90.00 90.00°
Space group P4/mmm (No. 123)
Unique sites:
Cd: 0.000 0.500 0.000
Fe: 0.000 0.000 0.500
Sb: 0.500 0.500 0.000
Mo: 0.500 0.500 0.500

=====

Total DFT energy (no corrections) across the listed records, respectively: -2.1077 -1.0527 Ha/atom.